(1)
# TcHOsRu2, relaxed, DFT PBE
data_TcHOsRu2
_chemical_formula_sum 'Tc1 H1 Os1 Ru2'
_cell_length_a 3.882
_cell_length_b 3.882
_cell_length_c 3.904
_cell_angle_alpha 90.00
_cell_angle_beta 90.00
_cell_angle_gamma 90.00
_space_group_name_H-M_alt 'P 4/m m m'
_space_group_IT_number 123
_space_group_name_Hall '-P 4 2'
loop_
_atom_site_label
_atom_site_fract_x
_atom_site_fract_y
_atom_site_fract_z
Tc1 0.000 0.000 0.000
H1 0.500 0.500 0.500
Os1 0.500 0.500 0.000
Ru1 0.000 0.500 0.500
# Uncorrected energy, eV per formula unit: -42.972
# Calculated volume, Å³/cell: 58.9
# Total moment, μB per cell: 0.00



(2)
# Tc2HOsRu, relaxed, DFT PBE
data_Tc2HOsRu
_chemical_formula_sum 'Tc2 H1 Os1 Ru1'
_cell_length_a 3.915
_cell_length_b 3.915
_cell_length_c 3.872
_cell_angle_alpha 90.00
_cell_angle_beta 90.00
_cell_angle_gamma 90.00
_space_group_name_H-M_alt 'P 4/m m m'
_space_group_IT_number 123
_space_group_name_Hall '-P 4 2'
loop_
_atom_site_label
_atom_site_fract_x
_atom_site_fract_y
_atom_site_fract_z
Tc1 0.000 0.500 0.000
H1 0.000 0.000 0.000
Os1 0.500 0.500 0.500
Ru1 0.000 0.000 0.500
# Uncorrected energy, eV per formula unit: -44.279
# Calculated volume, Å³/cell: 59.3
# Total moment, μB per cell: 0.00



(3)
# Tc2HOsRu, relaxed, DFT PBE
data_Tc2HOsRu
_chemical_formula_sum 'Tc2 H1 Os1 Ru1'
_cell_length_a 3.911
_cell_length_b 3.911
_cell_length_c 3.891
_cell_angle_alpha 90.00
_cell_angle_beta 90.00
_cell_angle_gamma 90.00
_space_group_name_H-M_alt 'P 4/m m m'
_space_group_IT_number 123
_space_group_name_Hall '-P 4 2'
loop_
_atom_site_label
_atom_site_fract_x
_atom_site_fract_y
_atom_site_fract_z
Tc1 0.000 0.500 0.000
H1 0.000 0.000 0.000
Os1 0.000 0.000 0.500
Ru1 0.500 0.500 0.500
# Uncorrected energy, eV per formula unit: -44.083
# Calculated volume, Å³/cell: 59.5
# Total moment, μB per cell: 0.00



(4)
# Ti2HOsRu, relaxed, DFT PBE
data_Ti2HOsRu
_chemical_formula_sum 'Ti2 H1 Os1 Ru1'
_cell_length_a 4.288
_cell_length_b 4.288
_cell_length_c 3.404
_cell_angle_alpha 90.00
_cell_angle_beta 90.00
_cell_angle_gamma 90.00
_space_group_name_H-M_alt 'P 4/m m m'
_space_group_IT_number 123
_space_group_name_Hall '-P 4 2'
loop_
_atom_site_label
_atom_site_fract_x
_atom_site_fract_y
_atom_site_fract_z
Ti1 0.000 0.500 0.000
H1 0.000 0.000 0.000
Os1 0.000 0.000 0.500
Ru1 0.500 0.500 0.500
# Uncorrected energy, eV per formula unit: -41.728
# Calculated volume, Å³/cell: 62.6
# Total moment, μB per cell: 0.00



(5)
# Ti2HOsRu, relaxed, DFT PBE
data_Ti2HOsRu
_chemical_formula_sum 'Ti2 H1 Os1 Ru1'
_cell_length_a 4.311
_cell_length_b 4.311
_cell_length_c 3.341
_cell_angle_alpha 90.00
_cell_angle_beta 90.00
_cell_angle_gamma 90.00
_space_group_name_H-M_alt 'P 4/m m m'
_space_group_IT_number 123
_space_group_name_Hall '-P 4 2'
loop_
_atom_site_label
_atom_site_fract_x
_atom_site_fract_y
_atom_site_fract_z
Ti1 0.000 0.500 0.000
H1 0.000 0.000 0.000
Os1 0.500 0.500 0.500
Ru1 0.000 0.000 0.500
# Uncorrected energy, eV per formula unit: -41.990
# Calculated volume, Å³/cell: 62.1
# Total moment, μB per cell: 0.00



(6)
# VHOsRu2, relaxed, DFT PBE
data_VHOsRu2
_chemical_formula_sum 'V1 H1 Os1 Ru2'
_cell_length_a 3.856
_cell_length_b 3.856
_cell_length_c 3.865
_cell_angle_alpha 90.00
_cell_angle_beta 90.00
_cell_angle_gamma 90.00
_space_group_name_H-M_alt 'P 4/m m m'
_space_group_IT_number 123
_space_group_name_Hall '-P 4 2'
loop_
_atom_site_label
_atom_site_fract_x
_atom_site_fract_y
_atom_site_fract_z
V1 0.000 0.000 0.000
H1 0.000 0.000 0.500
Os1 0.500 0.500 0.000
Ru1 0.000 0.500 0.500
# Uncorrected energy, eV per formula unit: -42.589
# Calculated volume, Å³/cell: 57.5
# Total moment, μB per cell: 0.00



(7)
# VHOs2Ru, relaxed, DFT PBE
data_VHOs2Ru
_chemical_formula_sum 'V1 H1 Os2 Ru1'
_cell_length_a 3.868
_cell_length_b 3.868
_cell_length_c 3.884
_cell_angle_alpha 90.00
_cell_angle_beta 90.00
_cell_angle_gamma 90.00
_space_group_name_H-M_alt 'P 4/m m m'
_space_group_IT_number 123
_space_group_name_Hall '-P 4 2'
loop_
_atom_site_label
_atom_site_fract_x
_atom_site_fract_y
_atom_site_fract_z
V1 0.000 0.000 0.000
H1 0.000 0.000 0.500
Os1 0.000 0.500 0.500
Ru1 0.500 0.500 0.000
# Uncorrected energy, eV per formula unit: -44.179
# Calculated volume, Å³/cell: 58.1
# Total moment, μB per cell: 0.00



(8)
# VHOsRu2, relaxed, DFT PBE
data_VHOsRu2
_chemical_formula_sum 'V1 H1 Os1 Ru2'
_cell_length_a 3.869
_cell_length_b 3.869
_cell_length_c 3.872
_cell_angle_alpha 90.00
_cell_angle_beta 90.00
_cell_angle_gamma 90.00
_space_group_name_H-M_alt 'P 4/m m m'
_space_group_IT_number 123
_space_group_name_Hall '-P 4 2'
loop_
_atom_site_label
_atom_site_fract_x
_atom_site_fract_y
_atom_site_fract_z
V1 0.000 0.000 0.000
H1 0.500 0.500 0.500
Os1 0.500 0.500 0.000
Ru1 0.000 0.500 0.500
# Uncorrected energy, eV per formula unit: -42.359
# Calculated volume, Å³/cell: 58.0
# Total moment, μB per cell: 0.00



(9)
# Zr2HOsRu, relaxed, DFT PBE
data_Zr2HOsRu
_chemical_formula_sum 'Zr2 H1 Os1 Ru1'
_cell_length_a 4.588
_cell_length_b 4.588
_cell_length_c 3.519
_cell_angle_alpha 90.00
_cell_angle_beta 90.00
_cell_angle_gamma 90.00
_space_group_name_H-M_alt 'P 4/m m m'
_space_group_IT_number 123
_space_group_name_Hall '-P 4 2'
loop_
_atom_site_label
_atom_site_fract_x
_atom_site_fract_y
_atom_site_fract_z
Zr1 0.000 0.500 0.000
H1 0.000 0.000 0.000
Os1 0.000 0.000 0.500
Ru1 0.500 0.500 0.500
# Uncorrected energy, eV per formula unit: -42.954
# Calculated volume, Å³/cell: 74.1
# Total moment, μB per cell: 0.00



(10)
# ZrHOsRu2, relaxed, DFT PBE
data_ZrHOsRu2
_chemical_formula_sum 'Zr1 H1 Os1 Ru2'
_cell_length_a 4.031
_cell_length_b 4.031
_cell_length_c 3.987
_cell_angle_alpha 90.00
_cell_angle_beta 90.00
_cell_angle_gamma 90.00
_space_group_name_H-M_alt 'P 4/m m m'
_space_group_IT_number 123
_space_group_name_Hall '-P 4 2'
loop_
_atom_site_label
_atom_site_fract_x
_atom_site_fract_y
_atom_site_fract_z
Zr1 0.000 0.000 0.000
H1 0.500 0.500 0.500
Os1 0.500 0.500 0.000
Ru1 0.000 0.500 0.500
# Uncorrected energy, eV per formula unit: -42.296
# Calculated volume, Å³/cell: 64.8
# Total moment, μB per cell: 0.00



(11)
# Zr2HOsRu, relaxed, DFT PBE
data_Zr2HOsRu
_chemical_formula_sum 'Zr2 H1 Os1 Ru1'
_cell_length_a 4.608
_cell_length_b 4.608
_cell_length_c 3.466
_cell_angle_alpha 90.00
_cell_angle_beta 90.00
_cell_angle_gamma 90.00
_space_group_name_H-M_alt 'P 4/m m m'
_space_group_IT_number 123
_space_group_name_Hall '-P 4 2'
loop_
_atom_site_label
_atom_site_fract_x
_atom_site_fract_y
_atom_site_fract_z
Zr1 0.000 0.500 0.000
H1 0.000 0.000 0.000
Os1 0.500 0.500 0.500
Ru1 0.000 0.000 0.500
# Uncorrected energy, eV per formula unit: -43.147
# Calculated volume, Å³/cell: 73.6
# Total moment, μB per cell: 0.00



(12)
# H2OsS, relaxed, DFT PBE
data_H2OsS
_chemical_formula_sum 'H8 Os4 S4'
_cell_length_a 5.468
_cell_length_b 5.468
_cell_length_c 5.116
_cell_angle_alpha 90.00
_cell_angle_beta 90.00
_cell_angle_gamma 90.00
_space_group_name_H-M_alt 'I -4 2 d'
_space_group_IT_number 122
_space_group_name_Hall 'I -4 2bw'
loop_
_atom_site_label
_atom_site_fract_x
_atom_site_fract_y
_atom_site_fract_z
H1 0.160 0.250 0.125
Os1 0.000 0.000 0.000
S1 0.000 0.000 0.500
# Uncorrected energy, eV per formula unit: -19.158
# Calculated volume, Å³/cell: 153.0
# Total moment, μB per cell: 0.00